(1)
Entry from Alexandria: an optimized crystal structure of LiCu5F12 (PBE-GGA).

a = 4.712 Å, b = 4.712 Å, c = 9.241 Å
α = 90.00°, β = 90.00°, γ = 90.90°
Element x y z (fractional)
Li1 0.000 0.000 0.000
Cu1 0.000 0.000 0.328
Cu2 0.000 0.000 0.672
Cu3 0.500 0.500 0.163
Cu4 0.500 0.500 0.500
Cu5 0.500 0.500 0.837
F1 0.192 0.192 0.500
F2 0.199 0.199 0.172
F3 0.199 0.199 0.828
F4 0.307 0.693 0.333
F5 0.307 0.693 0.667
F6 0.309 0.691 0.000
F7 0.691 0.309 0.000
F8 0.693 0.307 0.333
F9 0.693 0.307 0.667
F10 0.801 0.801 0.172
F11 0.801 0.801 0.828
F12 0.808 0.808 0.500

- SG = Cmmm, No. 65
- raw formation energy (eV per atom) = -1.6691
- energy relative to the lowest polymorph listed for this composition (meV per atom) = 0



(2)
Entry from Alexandria: an optimized crystal structure of CsLaAgTe2 (PBE-GGA).

a = 9.405 Å, b = 9.405 Å, c = 6.504 Å
α = 90.00°, β = 90.00°, γ = 135.71°
Element x y z (fractional)
Cs1 0.250 0.750 0.761
Cs2 0.750 0.250 0.239
La1 0.250 0.250 0.500
La2 0.750 0.750 0.500
Ag1 0.000 0.000 0.000
Ag2 0.500 0.500 0.000
Te1 0.123 0.877 0.252
Te2 0.377 0.623 0.252
Te3 0.623 0.377 0.748
Te4 0.877 0.123 0.748

- SG = Cmme, No. 67
- raw formation energy (eV per atom) = -0.8497



(3)
Entry from Alexandria: an optimized crystal structure of Ta2HgPb (PBE-GGA).

a = 10.127 Å, b = 10.127 Å, c = 10.127 Å
α = 18.58°, β = 18.58°, γ = 18.58°
Element x y z (fractional)
Ta1 0.000 0.000 0.000
Ta2 0.269 0.269 0.269
Hg1 0.747 0.747 0.747
Pb1 0.513 0.513 0.513

- SG = R3m, No. 160
- energy relative to the lowest polymorph listed for this composition (meV per atom) = 87



(4)
Entry from Alexandria: an optimized crystal structure of La2RhBr2 (PBE-GGA).

a = 11.263 Å, b = 11.263 Å, c = 11.263 Å
α = 21.38°, β = 21.38°, γ = 21.38°
Element x y z (fractional)
La1 0.116 0.116 0.116
La2 0.884 0.884 0.884
Rh1 0.500 0.500 0.500
Br1 0.388 0.388 0.388
Br2 0.612 0.612 0.612

- SG = R-3m, No. 166
- raw formation energy (eV per atom) = -1.3444



What did the third record say?
Entry from Alexandria: an optimized crystal structure of Ta2HgPb (PBE-GGA).

a = 10.127 Å, b = 10.127 Å, c = 10.127 Å
α = 18.58°, β = 18.58°, γ = 18.58°
Element x y z (fractional)
Ta1 0.000 0.000 0.000
Ta2 0.269 0.269 0.269
Hg1 0.747 0.747 0.747
Pb1 0.513 0.513 0.513

- SG = R3m, No. 160
- energy relative to the lowest polymorph listed for this composition (meV per atom) = 87